Entry from Alexandria via LeMat-Bulk: a relaxed NbOs3Cl crystal (PBE-GGA).

The relative energy among the computed polymorphs comes out at 0.000 eV per formula unit. The calculation puts the density of states at the Fermi level at 1.0630 states/eV per atom. The calculation puts the uncorrected formation energy at 8.1 eV/f.u.

The structure belongs to space group Pm-3m (No. 221); the cell edges are 4.355, 4.355 and 4.355 Å and the angles 90.00°, 90.00° and 90.00°. The distinct sites, in fractional coordinates, are Nb at (0.000, 0.000, 0.000), Os at (0.000, 0.500, 0.500) and Cl at (0.500, 0.500, 0.500).